First-principles (GGA-PBE) data for a geometry-optimized SmEr6 structure, as listed in Alexandria.

Unit cell a=6.467 b=6.467 c=10.896 alpha=90.00 beta=90.00 gamma=90.00
Positions (direct):
Er: 0.168 0.332 0.363
Er: 0.332 0.832 0.363
Er: 0.168 0.668 0.637
Er: 0.668 0.168 0.363
Er: 0.000 0.000 0.142
Er: 0.000 0.000 0.858
Er: 0.500 0.500 0.858
Er: 0.500 0.500 0.142
Er: 0.832 0.668 0.363
Er: 0.668 0.832 0.637
Er: 0.332 0.168 0.637
Er: 0.832 0.332 0.637
Sm: 0.000 0.500 0.000
Sm: 0.500 0.000 0.000

Calculated values
Uncorrected energy = -4.3176 eV/atom
ΔE to the lowest computed polymorph = 0 meV per atom
Formation energy = 268 meV per atom

***

First-principles (GGA-PBE) data for a geometry-optimized Sm5Er2 structure, as listed in Alexandria.

Unit cell a=6.322 b=9.302 c=8.554 alpha=94.99 beta=111.69 gamma=90.00
Positions (direct):
Sm: 0.309 0.464 0.282
Sm: 0.973 0.964 0.282
Sm: 0.027 0.036 0.718
Sm: 0.691 0.536 0.718
Sm: 0.168 0.750 0.000
Sm: 0.832 0.250 0.000
Sm: 0.451 0.179 0.571
Sm: 0.120 0.679 0.571
Sm: 0.549 0.821 0.429
Sm: 0.880 0.321 0.429
Er: 0.594 0.893 0.859
Er: 0.736 0.607 0.141
Er: 0.264 0.393 0.859
Er: 0.406 0.107 0.141

Calculated values
Uncorrected energy = -4.6532 eV/atom
ΔE to the lowest computed polymorph = 0 meV per atom
Formation energy = 21 meV per atom

***

First-principles (GGA-PBE) data for a geometry-optimized Sm6Er structure, as listed in Alexandria.

Unit cell a=6.996 b=6.996 c=6.996 alpha=109.47 beta=109.47 gamma=109.47
Positions (direct):
Sm: 0.250 0.750 0.500
Sm: 0.750 0.500 0.250
Sm: 0.250 0.500 0.750
Sm: 0.750 0.250 0.500
Sm: 0.500 0.250 0.750
Sm: 0.500 0.750 0.250
Er: 0.000 0.000 0.000

Calculated values
Uncorrected energy = -3.3491 eV/atom
ΔE to the lowest computed polymorph = 1096 meV per atom
Formation energy = 1348 meV per atom